Below is a relaxed structure of MoRuN, with properties calculated at the PBE level.

Computed properties:
DOS(E_F) = 1.27 states/eV/f.u.
formation energy without anion corrections = 158 kJ/mol of formula units
VASP energy = -26.798 eV/cell
V = 36 Å³/cell

Lattice parameters (Å, degrees): 3.7798 3.7798 2.8779 90.00 90.00 120.00
Last column: nearest neighbours and their distance in Å.
Space group P-6m2 (No. 187)
One atom of each set of equivalent atoms:
Mo 0.0000 0.0000 0.0000 x1  6 N 2.61, 6 Ru 2.61, 2 Mo 2.88
Ru 0.6667 0.3333 0.5000 x1  3 N 2.18
N 0.3333 0.6667 0.5000 x1  3 Ru 2.18



Below is a relaxed structure of Mo4RuN, with properties calculated at the PBE level.

Computed properties:
DOS(E_F) = 5.55 states/eV/f.u.
formation energy without anion corrections = 85 kJ/mol of formula units
VASP energy = -120.079 eV/cell
V = 178 Å³/cell

Lattice parameters (Å, degrees): 5.1106 5.2938 6.5806 90.00 90.00 90.00
Last column: nearest neighbours and their distance in Å.
Space group Pmna (No. 53)
One atom of each set of equivalent atoms:
Mo 0.0000 0.1745 0.1406 x4  1 N 1.96
Mo 0.2500 0.3358 0.7500 x4  2 N 2.26
Ru 0.0000 0.0000 0.5000 x2  6 Mo 2.54-2.74
N 0.0000 0.5000 0.0000 x2  2 Mo 1.96



Below is a relaxed structure of MoRuN, with properties calculated at the PBE level.

Computed properties:
DOS(E_F) = 1.43 states/eV/f.u.
formation energy without anion corrections = 15 kJ/mol of formula units
VASP energy = -113.117 eV/cell
V = 140 Å³/cell

Lattice parameters (Å, degrees): 9.8973 2.8818 4.9837 90.00 99.64 90.00
Last column: nearest neighbours and their distance in Å.
Space group C2/m (No. 12)
One atom of each set of equivalent atoms:
Mo 0.1094 0.0000 0.3738 x4  3 N 2.11-2.15
Ru 0.1071 0.5000 0.8706 x4  3 N 2.19
N 0.2500 0.0000 0.7430 x4  3 Mo 2.11-2.15, 3 Ru 2.19



Below is a relaxed structure of MoRu3N, with properties calculated at the PBE level.

Computed properties:
DOS(E_F) = 4.87 states/eV/f.u.
formation energy without anion corrections = 1345 kJ/mol of formula units
VASP energy = -33.047 eV/cell
V = 104 Å³/cell

Lattice parameters (Å, degrees): 4.6959 4.6959 4.6959 90.00 90.00 90.00
Last column: nearest neighbours and their distance in Å.
Space group Pm-3m (No. 221)
One atom of each set of equivalent atoms:
Mo 0.0000 0.0000 0.0000 x1  6 Ru 2.35
Ru 0.0000 0.0000 0.5000 x3  2 Mo 2.35
N 0.5000 0.5000 0.5000 x1  12 Ru 3.32